1.
# K2UCu2O6 | Alexandria via LeMat-Bulk | GGA-PBE | relaxed
data_K2UCu2O6
_chemical_formula_sum 'K2 U1 Cu2 O6'
_space_group_name_H-M_alt 'P 1'
_space_group_IT_number 1
_space_group_name_Hall 'P 1'
_cell_length_a 6.6962
_cell_length_b 6.6962
_cell_length_c 6.6962
_cell_angle_alpha 53.57
_cell_angle_beta 53.57
_cell_angle_gamma 53.57
loop_
_atom_site_label
_atom_site_type_symbol
_atom_site_fract_x
_atom_site_fract_y
_atom_site_fract_z
_atom_site_occupancy
K1 K 0.2148 0.2148 0.2148 1
K2 K 0.7852 0.7852 0.7852 1
U1 U 0.0000 0.0000 0.0000 1
Cu1 Cu 0.4147 0.4147 0.4147 1
Cu2 Cu 0.5853 0.5853 0.5853 1
O1 O 0.2320 0.2320 0.7613 1
O2 O 0.2320 0.7613 0.2320 1
O3 O 0.2387 0.7680 0.7680 1
O4 O 0.7613 0.2320 0.2320 1
O5 O 0.7680 0.2387 0.7680 1
O6 O 0.7680 0.7680 0.2387 1
# DOS(E_F) = 6.50 states/eV/cell
# raw formation energy = -1.7942 eV/atom
# space group = R-3m
# VASP energy = -0.4755 Ry/atom
# theoretical density = 5.0 g cm⁻³


2.
# K2GeBr | Alexandria via LeMat-Bulk | GGA-PBE | relaxed
data_K2GeBr
_chemical_formula_sum 'K4 Ge2 Br2'
_space_group_name_H-M_alt 'P 1'
_space_group_IT_number 1
_space_group_name_Hall 'P 1'
_cell_length_a 7.3912
_cell_length_b 7.3912
_cell_length_c 7.3912
_cell_angle_alpha 104.89
_cell_angle_beta 104.89
_cell_angle_gamma 119.09
loop_
_atom_site_label
_atom_site_type_symbol
_atom_site_fract_x
_atom_site_fract_y
_atom_site_fract_z
_atom_site_occupancy
K1 K 0.0984 0.6250 0.9734 1
K2 K 0.3750 0.3484 0.4734 1
K3 K 0.6516 0.1250 0.0266 1
K4 K 0.8750 0.9016 0.5266 1
Ge1 Ge 0.2500 0.7500 0.5000 1
Ge2 Ge 0.5000 0.5000 0.0000 1
Br1 Br 0.0000 0.0000 0.0000 1
Br2 Br 0.7500 0.2500 0.5000 1
# DOS(E_F) = 8.01 states/eV/cell
# raw formation energy = -0.3349 eV/atom
# space group = I-42d
# VASP energy = -0.1805 Ry/atom
# energy above the most stable polymorph in this dataset = 0.081 eV per atom
# theoretical density = 2.5 g cm⁻³


3.
# Pm2NdDy5 | Alexandria via LeMat-Bulk | GGA-PBE | relaxed
data_Pm2NdDy5
_chemical_formula_sum 'Pm4 Nd2 Dy10'
_space_group_name_H-M_alt 'P 1'
_space_group_IT_number 1
_space_group_name_Hall 'P 1'
_cell_length_a 9.5878
_cell_length_b 9.5878
_cell_length_c 6.5078
_cell_angle_alpha 96.74
_cell_angle_beta 96.74
_cell_angle_gamma 62.53
loop_
_atom_site_label
_atom_site_type_symbol
_atom_site_fract_x
_atom_site_fract_y
_atom_site_fract_z
_atom_site_occupancy
Pm1 Pm 0.1699 0.6763 0.8855 1
Pm2 Pm 0.3237 0.8301 0.6145 1
Pm3 Pm 0.6763 0.1699 0.3855 1
Pm4 Pm 0.8301 0.3237 0.1145 1
Nd1 Nd 0.0000 0.5000 0.0000 1
Nd2 Nd 0.5000 0.0000 0.5000 1
Dy1 Dy 0.0096 0.1877 0.6424 1
Dy2 Dy 0.1877 0.0096 0.1424 1
Dy3 Dy 0.2136 0.3932 0.4783 1
Dy4 Dy 0.3932 0.2136 0.9783 1
Dy5 Dy 0.4427 0.5573 0.2500 1
Dy6 Dy 0.5573 0.4427 0.7500 1
Dy7 Dy 0.6068 0.7864 0.0217 1
Dy8 Dy 0.7864 0.6068 0.5217 1
Dy9 Dy 0.8123 0.9904 0.8576 1
Dy10 Dy 0.9904 0.8123 0.3576 1
# DOS(E_F) = 24.04 states/eV/cell
# space group = C2/c
# VASP energy = -0.3301 Ry/atom
# energy above the most stable polymorph in this dataset = 0.152 eV per atom
# theoretical density = 7.9 g cm⁻³
# calculated formation energy = 0.169 eV/atom


4.
# Cr3OsS | Alexandria via LeMat-Bulk | GGA-PBE | relaxed
data_Cr3OsS
_chemical_formula_sum 'Cr3 Os1 S1'
_space_group_name_H-M_alt 'P 1'
_space_group_IT_number 1
_space_group_name_Hall 'P 1'
_cell_length_a 4.0853
_cell_length_b 4.0853
_cell_length_c 4.0853
_cell_angle_alpha 90.00
_cell_angle_beta 90.00
_cell_angle_gamma 90.00
loop_
_atom_site_label
_atom_site_type_symbol
_atom_site_fract_x
_atom_site_fract_y
_atom_site_fract_z
_atom_site_occupancy
Cr1 Cr 0.0000 0.0000 0.5000 1
Cr2 Cr 0.0000 0.5000 0.0000 1
Cr3 Cr 0.5000 0.0000 0.0000 1
Os1 Os 0.5000 0.5000 0.5000 1
S1 S 0.0000 0.0000 0.0000 1
# DOS(E_F) = 5.91 states/eV/cell
# raw formation energy = 0.6187 eV/atom
# space group = Pm-3m
# VASP energy = -0.6047 Ry/atom
# energy above the most stable polymorph in this dataset = 0.000 eV per atom
# theoretical density = 9.2 g cm⁻³


5.
# AgTeCl | Alexandria via LeMat-Bulk | GGA-PBE | relaxed
data_AgTeCl
_chemical_formula_sum 'Ag1 Te1 Cl1'
_space_group_name_H-M_alt 'P 1'
_space_group_IT_number 1
_space_group_name_Hall 'P 1'
_cell_length_a 7.5099
_cell_length_b 7.0963
_cell_length_c 3.5752
_cell_angle_alpha 82.37
_cell_angle_beta 69.48
_cell_angle_gamma 28.15
loop_
_atom_site_label
_atom_site_type_symbol
_atom_site_fract_x
_atom_site_fract_y
_atom_site_fract_z
_atom_site_occupancy
Ag1 Ag 0.0000 0.0000 0.0000 1
Te1 Te 0.6517 0.6517 0.3483 1
Cl1 Cl 0.3739 0.3739 0.6261 1
# DOS(E_F) = 1.64 states/eV/cell
# raw formation energy = -0.0969 eV/atom
# space group = Fmm2
# VASP energy = -0.1992 Ry/atom
# energy above the most stable polymorph in this dataset = 0.168 eV per atom
# theoretical density = 5.8 g cm⁻³


6.
# Y2GaAu3 | Alexandria via LeMat-Bulk | GGA-PBE | relaxed
data_Y2GaAu3
_chemical_formula_sum 'Y2 Ga1 Au3'
_space_group_name_H-M_alt 'P 1'
_space_group_IT_number 1
_space_group_name_Hall 'P 1'
_cell_length_a 3.4536
_cell_length_b 4.6067
_cell_length_c 8.1302
_cell_angle_alpha 90.00
_cell_angle_beta 90.00
_cell_angle_gamma 90.00
loop_
_atom_site_label
_atom_site_type_symbol
_atom_site_fract_x
_atom_site_fract_y
_atom_site_fract_z
_atom_site_occupancy
Y1 Y 0.0000 0.0000 0.0000 1
Y2 Y 0.0000 0.5000 0.4791 1
Ga1 Ga 0.5000 0.5000 0.8161 1
Au1 Au 0.5000 0.0000 0.3296 1
Au2 Au 0.5000 0.0000 0.6713 1
Au3 Au 0.5000 0.5000 0.1371 1
# DOS(E_F) = 3.90 states/eV/cell
# space group = Pmm2
# VASP energy = -0.3745 Ry/atom
# energy above the most stable polymorph in this dataset = 0.000 eV per atom
# theoretical density = 10.8 g cm⁻³
# calculated formation energy = -0.797 eV/atom


7.
# Ca3Ac2PmTe6 | Alexandria via LeMat-Bulk | GGA-PBE | relaxed
data_Ca3Ac2PmTe6
_chemical_formula_sum 'Ca3 Ac2 Pm1 Te6'
_space_group_name_H-M_alt 'P 1'
_space_group_IT_number 1
_space_group_name_Hall 'P 1'
_cell_length_a 10.2969
_cell_length_b 10.2969
_cell_length_c 9.2286
_cell_angle_alpha 104.25
_cell_angle_beta 104.25
_cell_angle_gamma 25.51
loop_
_atom_site_label
_atom_site_type_symbol
_atom_site_fract_x
_atom_site_fract_y
_atom_site_fract_z
_atom_site_occupancy
Ca1 Ca 0.0000 0.0000 0.0000 1
Ca2 Ca 0.3317 0.3317 0.6668 1
Ca3 Ca 0.6683 0.6683 0.3332 1
Ac1 Ac 0.3368 0.3368 0.1739 1
Ac2 Ac 0.6632 0.6632 0.8261 1
Pm1 Pm 0.0000 0.0000 0.5000 1
Te1 Te 0.1636 0.1636 0.0919 1
Te2 Te 0.1662 0.1662 0.5670 1
Te3 Te 0.4939 0.4939 0.7475 1
Te4 Te 0.5061 0.5061 0.2525 1
Te5 Te 0.8338 0.8338 0.4330 1
Te6 Te 0.8364 0.8364 0.9081 1
# DOS(E_F) = 5.07 states/eV/cell
# raw formation energy = -1.5266 eV/atom
# space group = C2/m
# VASP energy = -0.3439 Ry/atom
# theoretical density = 6.0 g cm⁻³


8.
# NaTaHg2Ge | Alexandria via LeMat-Bulk | GGA-PBE | relaxed
data_NaTaHg2Ge
_chemical_formula_sum 'Na1 Ta1 Hg2 Ge1'
_space_group_name_H-M_alt 'P 1'
_space_group_IT_number 1
_space_group_name_Hall 'P 1'
_cell_length_a 4.9409
_cell_length_b 4.9409
_cell_length_c 5.4796
_cell_angle_alpha 90.00
_cell_angle_beta 90.00
_cell_angle_gamma 90.00
loop_
_atom_site_label
_atom_site_type_symbol
_atom_site_fract_x
_atom_site_fract_y
_atom_site_fract_z
_atom_site_occupancy
Na1 Na 0.0000 0.0000 0.0000 1
Ta1 Ta 0.0000 0.0000 0.5000 1
Hg1 Hg 0.0000 0.5000 0.0000 1
Hg2 Hg 0.5000 0.0000 0.0000 1
Ge1 Ge 0.5000 0.5000 0.5000 1
# DOS(E_F) = 3.09 states/eV/cell
# space group = P4/mmm
# VASP energy = -0.1589 Ry/atom
# theoretical density = 8.4 g cm⁻³
# calculated formation energy = 1.517 eV/atom


9.
# PuPaGaMo | Alexandria via LeMat-Bulk | GGA-PBE | relaxed
data_PuPaGaMo
_chemical_formula_sum 'Pu1 Pa1 Ga1 Mo1'
_space_group_name_H-M_alt 'P 1'
_space_group_IT_number 1
_space_group_name_Hall 'P 1'
_cell_length_a 4.9428
_cell_length_b 4.9428
_cell_length_c 4.9428
_cell_angle_alpha 60.00
_cell_angle_beta 60.00
_cell_angle_gamma 60.00
loop_
_atom_site_label
_atom_site_type_symbol
_atom_site_fract_x
_atom_site_fract_y
_atom_site_fract_z
_atom_site_occupancy
Pu1 Pu 0.0000 0.0000 0.0000 1
Pa1 Pa 0.5000 0.5000 0.5000 1
Ga1 Ga 0.2500 0.2500 0.2500 1
Mo1 Mo 0.7500 0.7500 0.7500 1
# DOS(E_F) = 7.63 states/eV/cell
# space group = F-43m
# VASP energy = -0.6870 Ry/atom
# theoretical density = 12.5 g cm⁻³
# calculated formation energy = 0.075 eV/atom


10.
# Ta2V5Mo | Alexandria via LeMat-Bulk | GGA-PBE | relaxed
data_Ta2V5Mo
_chemical_formula_sum 'Ta2 V5 Mo1'
_space_group_name_H-M_alt 'P 1'
_space_group_IT_number 1
_space_group_name_Hall 'P 1'
_cell_length_a 7.0119
_cell_length_b 7.0119
_cell_length_c 7.0119
_cell_angle_alpha 143.74
_cell_angle_beta 143.74
_cell_angle_gamma 52.22
loop_
_atom_site_label
_atom_site_type_symbol
_atom_site_fract_x
_atom_site_fract_y
_atom_site_fract_z
_atom_site_occupancy
Ta1 Ta 0.2469 0.2469 0.0000 1
Ta2 Ta 0.7531 0.7531 0.0000 1
V1 V 0.0000 0.0000 0.0000 1
V2 V 0.1175 0.6175 0.5000 1
V3 V 0.3825 0.8825 0.5000 1
V4 V 0.6175 0.1175 0.5000 1
V5 V 0.8825 0.3825 0.5000 1
Mo1 Mo 0.5000 0.5000 0.0000 1
# DOS(E_F) = 13.76 states/eV/cell
# space group = I4/mmm
# VASP energy = -0.7376 Ry/atom
# theoretical density = 9.9 g cm⁻³
# calculated formation energy = -0.019 eV/atom


11.
# Sc8HgS4 | Alexandria via LeMat-Bulk | GGA-PBE | relaxed
data_Sc8HgS4
_chemical_formula_sum 'Sc8 Hg1 S4'
_space_group_name_H-M_alt 'P 1'
_space_group_IT_number 1
_space_group_name_Hall 'P 1'
_cell_length_a 8.8036
_cell_length_b 8.8036
_cell_length_c 8.8036
_cell_angle_alpha 92.41
_cell_angle_beta 92.41
_cell_angle_gamma 156.31
loop_
_atom_site_label
_atom_site_type_symbol
_atom_site_fract_x
_atom_site_fract_y
_atom_site_fract_z
_atom_site_occupancy
Sc1 Sc 0.0466 0.3462 0.3928 1
Sc2 Sc 0.3352 0.3701 0.7053 1
Sc3 Sc 0.3462 0.9534 0.2995 1
Sc4 Sc 0.3701 0.6648 0.0349 1
Sc5 Sc 0.6299 0.3352 0.9651 1
Sc6 Sc 0.6538 0.0466 0.7005 1
Sc7 Sc 0.6648 0.6299 0.2947 1
Sc8 Sc 0.9534 0.6538 0.6072 1
Hg1 Hg 0.0000 0.0000 0.0000 1
S1 S 0.1551 0.6895 0.8446 1
S2 S 0.3105 0.1551 0.4656 1
S3 S 0.6895 0.8449 0.5344 1
S4 S 0.8449 0.3105 0.1554 1
# DOS(E_F) = 10.17 states/eV/cell
# raw formation energy = -1.1774 eV/atom
# space group = I4/m
# VASP energy = -0.4680 Ry/atom
# theoretical density = 4.3 g cm⁻³


12.
# Cu2P | Alexandria via LeMat-Bulk | GGA-PBE | relaxed
data_Cu2P
_chemical_formula_sum 'Cu4 P2'
_space_group_name_H-M_alt 'P 1'
_space_group_IT_number 1
_space_group_name_Hall 'P 1'
_cell_length_a 9.3868
_cell_length_b 9.3868
_cell_length_c 9.3868
_cell_angle_alpha 164.14
_cell_angle_beta 158.64
_cell_angle_gamma 26.72
loop_
_atom_site_label
_atom_site_type_symbol
_atom_site_fract_x
_atom_site_fract_y
_atom_site_fract_z
_atom_site_occupancy
Cu1 Cu 0.2994 0.0494 0.2500 1
Cu2 Cu 0.4413 0.1913 0.2500 1
Cu3 Cu 0.5587 0.8087 0.7500 1
Cu4 Cu 0.7006 0.9506 0.7500 1
P1 P 0.1278 0.3778 0.7500 1
P2 P 0.8722 0.6222 0.2500 1
# DOS(E_F) = 1.80 states/eV/cell
# space group = Imma
# VASP energy = -0.3146 Ry/atom
# theoretical density = 6.4 g cm⁻³
# calculated formation energy = 0.254 eV/atom